A) Computed, not measured: a crystal of Y2SiPb relaxed with PBEsol at the meta-GGA SCAN level of DFT.

Calculated values
theoretical density	7167	kg/m³

a b c (Å): 3.754 3.754 6.792
angles (deg): 90.00 90.00 90.00
Element x y z (fractional)
Y: 0.000 0.000 0.721
Si: 0.500 0.500 0.500
Pb: 0.500 0.500 0.000
Y: 0.000 0.000 0.279

B) Computed, not measured: a crystal of Y2SiPb relaxed with PBEsol at the meta-GGA SCAN level of DFT.

Calculated values
theoretical density	7241	kg/m³

a b c (Å): 3.338 3.338 8.501
angles (deg): 90.00 90.00 90.00
Element x y z (fractional)
Y: 0.000 0.000 0.284
Y: 0.000 0.000 0.716
Si: 0.500 0.500 0.500
Pb: 0.500 0.500 0.000

Q: Which of them is the least stable? A: A).

A) Computed, not measured: a crystal of Zn2SiPb relaxed with PBEsol at the meta-GGA SCAN level of DFT.

Calculated values
theoretical density	7645	kg/m³

a b c (Å): 4.083 4.064 6.030
angles (deg): 109.92 90.00 120.15
Element x y z (fractional)
Si: 0.710 0.420 0.130
Zn: 0.280 0.560 0.840
Pb: 0.504 0.007 0.511
Zn: 0.006 0.013 0.019

B) Computed, not measured: a crystal of Zn2SiPb relaxed with PBEsol at the meta-GGA SCAN level of DFT.

Calculated values
theoretical density	7754	kg/m³

a b c (Å): 3.854 4.199 5.750
angles (deg): 106.36 90.00 117.32
Element x y z (fractional)
Zn: 0.225 0.449 0.160
Pb: 0.000 0.000 0.500
Si: 0.500 0.000 0.000
Zn: 0.775 0.551 0.840

Q: Which of them is the least stable? A: B).

A) Computed, not measured: a crystal of ZnSiPb relaxed with PBEsol at the meta-GGA SCAN level of DFT.

Calculated values
theoretical density	7738	kg/m³

a b c (Å): 4.140 4.140 4.348
angles (deg): 90.00 90.00 120.00
Element x y z (fractional)
Zn: 0.667 0.333 0.500
Pb: 0.000 0.000 0.000
Si: 0.333 0.667 0.500

B) Computed, not measured: a crystal of ZnSiPb relaxed with PBEsol at the meta-GGA SCAN level of DFT.

Calculated values
theoretical density	8195	kg/m³

a b c (Å): 3.277 3.277 6.126
angles (deg): 105.42 105.42 90.34
Element x y z (fractional)
Zn: 0.698 0.698 0.396
Pb: 0.000 0.000 0.000
Si: 0.302 0.302 0.604

Q: Which of them is the least stable? A: B).